No. 1
A geometry-optimized HgPRh2 structure. Source: Alexandria, functional PBE-GGA.

a = 4.3588 Å, b = 3.1717 Å, c = 5.1414 Å
α = 78.63°, β = 90.00°, γ = 90.00°
With the nearest neighbours (Å) after each atom.
Fractional positions:
Hg (0.0000, 0.5943, 0.4468)  7 Rh 2.76-2.92
P (0.5000, 0.7662, 0.9163)  4 Rh 2.23-2.27
Rh (0.0000, 0.9675, 0.9043)  2 P 2.27
Rh (0.5000, 0.1719, 0.2326)  2 P 2.23-2.26

Output
energy of formation from the pure elements: -0.101 eV per atom
SG: Pm (6)

No. 2
A geometry-optimized Ta2Ge2Pt structure. Source: Alexandria, functional PBE-GGA.

a = 6.6085 Å, b = 6.6085 Å, c = 3.7552 Å
α = 90.00°, β = 90.00°, γ = 90.00°
With the nearest neighbours (Å) after each atom.
Fractional positions:
Ge (0.1333, 0.3667, 0.0000)  1 Ge 2.49, 2 Pt 2.58, 6 Ta 2.63-2.76
Ge (0.6333, 0.1333, 0.0000)  1 Ge 2.49, 2 Pt 2.58, 6 Ta 2.63-2.76
Ge (0.8667, 0.6333, 0.0000)  1 Ge 2.49, 2 Pt 2.58, 6 Ta 2.63-2.76
Ge (0.3667, 0.8667, 0.0000)  1 Ge 2.49, 2 Pt 2.58, 6 Ta 2.63-2.76
Ta (0.8301, 0.3301, 0.5000)  6 Ge 2.63-2.76
Ta (0.1699, 0.6699, 0.5000)  6 Ge 2.63-2.76
Ta (0.6699, 0.8301, 0.5000)  6 Ge 2.63-2.76
Ta (0.3301, 0.1699, 0.5000)  6 Ge 2.63-2.76
Pt (0.0000, 0.0000, 0.0000)  4 Ge 2.58
Pt (0.5000, 0.5000, 0.0000)  4 Ge 2.58

Output
energy of formation from the pure elements: -0.181 eV per atom
energy above the lowest structure with this stoichiometry: 0.0 meV per atom
SG: P4/mbm (127)

No. 3
A geometry-optimized La2PmSi structure. Source: Alexandria, functional PBE-GGA.

a = 4.9443 Å, b = 4.9443 Å, c = 6.5138 Å
α = 67.70°, β = 67.70°, γ = 60.00°
With the nearest neighbours (Å) after each atom.
Fractional positions:
Pm (0.0000, 0.0000, 0.0000)  6 La 3.38
Si (0.5000, 0.5000, 0.5000)  6 La 3.07
La (0.7695, 0.7695, 0.6916)  3 Si 3.07, 3 Pm 3.38
La (0.2305, 0.2305, 0.3084)  3 Si 3.07, 3 Pm 3.38

Output
raw formation energy: -0.01 eV per atom
energy above the lowest structure with this stoichiometry: 369.4 meV per atom
SG: R-3m (166)

No. 4
A geometry-optimized Ho2SnPd structure. Source: Alexandria, functional PBE-GGA.

a = 4.3881 Å, b = 6.0832 Å, c = 8.1346 Å
α = 112.91°, β = 90.00°, γ = 90.00°
With the nearest neighbours (Å) after each atom.
Fractional positions:
Ho (0.7500, 0.6773, 0.9061)  3 Pd 2.95-3.27, 4 Sn 3.13-3.18
Ho (0.2500, 0.7608, 0.5560)  3 Pd 2.94-3.10, 3 Sn 3.15-3.22
Ho (0.2500, 0.3227, 0.0939)  3 Pd 2.95-3.27, 4 Sn 3.13-3.18
Ho (0.7500, 0.2392, 0.4440)  3 Pd 2.94-3.10, 3 Sn 3.15-3.22
Sn (0.2500, 0.8859, 0.2067)  2 Pd 2.91, 7 Ho 3.13-3.22
Sn (0.7500, 0.1141, 0.7933)  2 Pd 2.91, 7 Ho 3.13-3.22
Pd (0.7500, 0.6367, 0.2948)  2 Sn 2.91, 5 Ho 2.94-3.10
Pd (0.2500, 0.3633, 0.7052)  2 Sn 2.91, 5 Ho 2.94-3.10

Output
energy of formation from the pure elements: -0.819 eV per atom
SG: P2_1/m (11)

No. 5
A geometry-optimized HgC5 structure. Source: Alexandria, functional PBE-GGA.

a = 5.5594 Å, b = 5.5594 Å, c = 2.5314 Å
α = 90.00°, β = 90.00°, γ = 99.13°
With the nearest neighbours (Å) after each atom.
Fractional positions:
C (0.3350, 0.6650, 0.5000)  3 C 1.40-1.45
C (0.5000, 0.5000, 0.5000)  2 C 1.40
C (0.7495, 0.2505, 0.0000)  2 C 1.45
C (0.2505, 0.7495, 0.0000)  2 C 1.45
C (0.6650, 0.3350, 0.5000)  3 C 1.40-1.45
Hg (0.0000, 0.0000, 0.0000)  2 C 2.12

Output
energy of formation from the pure elements: 1.031 eV per atom
energy above the lowest structure with this stoichiometry: 0.0 meV per atom
SG: Cmmm (65)

No. 6
A geometry-optimized ZrCoH4 structure. Source: Alexandria, functional PBE-GGA.

a = 3.3637 Å, b = 4.6868 Å, c = 5.6956 Å
α = 90.00°, β = 107.18°, γ = 90.00°
With the nearest neighbours (Å) after each atom.
Fractional positions:
H (0.8045, 0.5051, 0.6090)  1 Co 1.63
H (0.0000, 0.0000, 0.0000)  2 Co 1.55
H (0.8045, 0.9949, 0.6090)  1 Co 1.63
H (0.1955, 0.0051, 0.3910)  1 Co 1.63
H (0.1955, 0.4949, 0.3910)  1 Co 1.63
H (0.4108, 0.2500, 0.8215)  2 Co 1.68
H (0.0000, 0.5000, 0.0000)  2 Co 1.55
H (0.5892, 0.7500, 0.1785)  2 Co 1.68
Co (0.9065, 0.2500, 0.8130)  6 H 1.55-1.68
Co (0.0935, 0.7500, 0.1870)  6 H 1.55-1.68
Zr (0.6367, 0.2500, 0.2734)  6 H 2.13-2.18
Zr (0.3633, 0.7500, 0.7266)  6 H 2.13-2.18

Output
energy above the lowest structure with this stoichiometry: 0.0 meV per atom
SG: Cmcm (63)

No. 7
A geometry-optimized Rb3LiSn structure. Source: Alexandria, functional PBE-GGA.

a = 7.1881 Å, b = 7.1881 Å, c = 7.1881 Å
α = 90.00°, β = 90.00°, γ = 90.00°
With the nearest neighbours (Å) after each atom.
Fractional positions:
Sn (0.0000, 0.0000, 0.0000)  6 Rb 3.59
Rb (0.5000, 0.0000, 0.0000)  2 Sn 3.59
Rb (0.0000, 0.0000, 0.5000)  2 Sn 3.59
Rb (0.0000, 0.5000, 0.0000)  2 Sn 3.59
Li (0.5000, 0.5000, 0.5000)  12 Rb 5.08

Output
energy of formation from the pure elements: 0.242 eV per atom
energy above the lowest structure with this stoichiometry: 0.0 meV per atom
SG: Pm-3m (221)

No. 8
A geometry-optimized Li6YZn6 structure. Source: Alexandria, functional PBE-GGA.

a = 5.1370 Å, b = 6.9670 Å, c = 6.9670 Å
α = 82.57°, β = 68.37°, γ = 68.37°
With the nearest neighbours (Å) after each atom.
Fractional positions:
Zn (0.5000, 0.0000, 0.5000)  4 Zn 2.57-2.64, 6 Li 2.66-2.81
Zn (0.0000, 0.5000, 0.0000)  4 Zn 2.57-2.64, 6 Li 2.66-2.81
Zn (0.5000, 0.5000, 0.0000)  4 Zn 2.57-2.64, 6 Li 2.66-2.81
Zn (0.0000, 0.0000, 0.5000)  4 Zn 2.57-2.64, 6 Li 2.66-2.81
Zn (0.5000, 0.2112, 0.7888)  4 Zn 2.64, 4 Li 2.71-2.85
Zn (0.5000, 0.7888, 0.2112)  4 Zn 2.64, 4 Li 2.71-2.85
Li (0.0000, 0.3459, 0.6541)  6 Zn 2.76-2.85, 3 Li 2.83-3.02
Li (0.3565, 0.6435, 0.6435)  3 Li 2.62-2.90, 4 Zn 2.81
Li (0.2923, 0.2077, 0.2077)  6 Zn 2.66-2.71, 2 Li 2.90
Li (0.7077, 0.7923, 0.7923)  6 Zn 2.66-2.71, 2 Li 2.90
Li (0.0000, 0.6541, 0.3459)  6 Zn 2.76-2.85, 3 Li 2.83-3.02
Li (0.6435, 0.3565, 0.3565)  3 Li 2.62-2.90, 4 Zn 2.81
Y (0.0000, 0.0000, 0.0000)  8 Li 3.18-3.25, 12 Zn 3.22-3.48

Output
energy of formation from the pure elements: -0.195 eV per atom
SG: Immm (71)

No. 9
A geometry-optimized NaAsH3 structure. Source: Alexandria, functional PBE-GGA.

a = 4.6312 Å, b = 4.7818 Å, c = 7.1371 Å
α = 90.00°, β = 90.00°, γ = 90.00°
With the nearest neighbours (Å) after each atom.
Fractional positions:
H (0.5000, 0.5966, 0.2415)  1 H 0.92
H (0.5000, 0.4034, 0.2415)  1 H 0.92
H (0.0000, 0.5000, 0.5662)  1 As 1.54
H (0.0000, 0.0966, 0.7585)  1 H 0.92
H (0.5000, 0.0000, 0.4338)  1 As 1.54
H (0.0000, 0.9034, 0.7585)  1 H 0.92
As (0.0000, 0.5000, 0.7819)  1 H 1.54
As (0.5000, 0.0000, 0.2181)  1 H 1.54
Na (0.5000, 0.0000, 0.7889)  5 H 2.37-2.53
Na (0.0000, 0.5000, 0.2111)  5 H 2.37-2.53

Output
energy above the lowest structure with this stoichiometry: 0.0 meV per atom
SG: Pmmn (59)

No. 10
A geometry-optimized Ba2Mg3Tl structure. Source: Alexandria, functional PBE-GGA.

a = 6.5211 Å, b = 6.5211 Å, c = 6.6051 Å
α = 89.89°, β = 119.52°, γ = 120.19°
With the nearest neighbours (Å) after each atom.
Fractional positions:
Tl (0.0000, 0.0000, 0.0000)  6 Mg 3.30-3.31
Mg (0.5000, 0.0000, 0.5000)  4 Mg 3.26, 2 Tl 3.31
Mg (0.5000, 0.5000, 0.5000)  4 Mg 3.25-3.26, 2 Tl 3.30
Mg (0.0000, 0.0000, 0.5000)  4 Mg 3.25-3.26, 2 Tl 3.30
Ba (0.2557, 0.6278, 0.8835)  3 Tl 3.81-3.82, 9 Mg 3.84-3.87, 4 Ba 3.97-4.17
Ba (0.7443, 0.3722, 0.1165)  3 Tl 3.81-3.82, 9 Mg 3.84-3.87, 4 Ba 3.97-4.17

Output
energy of formation from the pure elements: -0.185 eV per atom
SG: C2/m (12)

No. 11
A geometry-optimized CaTaBeS2 structure. Source: Alexandria, functional PBE-GGA.

a = 4.7337 Å, b = 6.1859 Å, c = 4.7337 Å
α = 90.00°, β = 90.00°, γ = 90.00°
With the nearest neighbours (Å) after each atom.
Fractional positions:
S (0.0000, 0.0000, 0.5000)  2 Ta 2.37
S (0.5000, 0.0000, 0.0000)  2 Ta 2.37
Ta (0.0000, 0.0000, 0.0000)  4 S 2.37
Be (0.5000, 0.5000, 0.5000)  4 Ca 3.35
Ca (0.0000, 0.5000, 0.0000)  2 Ta 3.09, 4 Be 3.35

Output
raw formation energy: 0.33 eV per atom
SG: P4/mmm (123)

No. 12
A geometry-optimized RbAgH3 structure. Source: Alexandria, functional PBE-GGA.

a = 4.0282 Å, b = 4.0282 Å, c = 4.0282 Å
α = 90.00°, β = 90.00°, γ = 90.00°
With the nearest neighbours (Å) after each atom.
Fractional positions:
H (0.5000, 0.0000, 0.0000)  2 Ag 2.01
H (0.0000, 0.0000, 0.5000)  2 Ag 2.01
H (0.0000, 0.5000, 0.0000)  2 Ag 2.01
Ag (0.0000, 0.0000, 0.0000)  6 H 2.01
Rb (0.5000, 0.5000, 0.5000)  12 H 2.85

Output
energy above the lowest structure with this stoichiometry: 23.0 meV per atom
SG: Pm-3m (221)

No. 13
A geometry-optimized Ca2AgW structure. Source: Alexandria, functional PBE-GGA.

a = 3.0901 Å, b = 3.0901 Å, c = 9.9183 Å
α = 90.00°, β = 90.00°, γ = 90.00°
With the nearest neighbours (Å) after each atom.
Fractional positions:
Ca (0.5000, 0.5000, 0.2947)  4 Ca 3.09, 4 W 3.20
Ca (0.0000, 0.0000, 0.9544)  4 Ca 3.09, 4 Ag 3.18
W (0.0000, 0.0000, 0.5298)  4 Ag 2.89, 4 W 3.09, 4 Ca 3.20
Ag (0.5000, 0.5000, 0.7212)  4 W 2.89, 4 Ag 3.09, 4 Ca 3.18

Output
energy of formation from the pure elements: 0.639 eV per atom
energy above the lowest structure with this stoichiometry: 126.3 meV per atom
SG: P4mm (99)

No. 14
A geometry-optimized MgMnBr2 structure. Source: Alexandria, functional PBE-GGA.

a = 3.6763 Å, b = 5.7533 Å, c = 6.3121 Å
α = 65.14°, β = 90.00°, γ = 90.00°
With the nearest neighbours (Å) after each atom.
Fractional positions:
Mn (0.5000, 0.7500, 0.7500)  4 Br 2.57
Br (0.0000, 0.9136, 0.9366)  2 Mn 2.57
Br (0.0000, 0.5864, 0.5634)  2 Mn 2.57
Mg (0.5000, 0.2500, 0.2500)  2 Mn 3.26

Output
raw formation energy: -0.25 eV per atom
energy above the lowest structure with this stoichiometry: 293.3 meV per atom
SG: P2/m (10)

No. 15
A geometry-optimized Li2GeBr structure. Source: Alexandria, functional PBE-GGA.

a = 4.8057 Å, b = 4.8057 Å, c = 4.8057 Å
α = 60.00°, β = 60.00°, γ = 60.00°
With the nearest neighbours (Å) after each atom.
Fractional positions:
Ge (0.0000, 0.0000, 0.0000)  8 Li 2.94
Li (0.2500, 0.2500, 0.2500)  4 Br 2.94, 4 Ge 2.94
Li (0.7500, 0.7500, 0.7500)  4 Br 2.94, 4 Ge 2.94
Br (0.5000, 0.5000, 0.5000)  8 Li 2.94

Output
raw formation energy: -0.18 eV per atom
energy above the lowest structure with this stoichiometry: 242.8 meV per atom
SG: Fm-3m (225)

No. 16
A geometry-optimized Nd3Ga8Ni3 structure. Source: Alexandria, functional PBE-GGA.

a = 4.2655 Å, b = 8.1314 Å, c = 8.1314 Å
α = 74.09°, β = 74.79°, γ = 74.79°
With the nearest neighbours (Å) after each atom.
Fractional positions:
Nd (0.8192, 0.1808, 0.1808)  4 Ni 3.05-3.08, 8 Ga 3.08-3.17
Nd (0.5000, 0.5000, 0.5000)  12 Ga 3.17-3.21, 4 Ni 3.53
Nd (0.1808, 0.8192, 0.8192)  4 Ni 3.05-3.08, 8 Ga 3.08-3.17
Ni (0.0000, 0.2133, 0.7867)  6 Ga 2.47-2.58
Ni (0.0000, 0.7867, 0.2133)  6 Ga 2.47-2.58
Ni (0.5000, 0.0000, 0.0000)  4 Ga 2.54
Ga (0.1625, 0.4745, 0.2006)  1 Ni 2.47, 3 Ga 2.65-2.68
Ga (0.6187, 0.6684, 0.0941)  3 Ni 2.54-2.58, 3 Ga 2.65-2.78
Ga (0.1625, 0.2006, 0.4745)  1 Ni 2.47, 3 Ga 2.65-2.68
Ga (0.8375, 0.7994, 0.5255)  1 Ni 2.47, 3 Ga 2.65-2.68
Ga (0.6187, 0.0941, 0.6684)  3 Ni 2.54-2.58, 3 Ga 2.65-2.78
Ga (0.3813, 0.9059, 0.3316)  3 Ni 2.54-2.58, 3 Ga 2.65-2.78
Ga (0.8375, 0.5255, 0.7994)  1 Ni 2.47, 3 Ga 2.65-2.68
Ga (0.3813, 0.3316, 0.9059)  3 Ni 2.54-2.58, 3 Ga 2.65-2.78

Output
energy of formation from the pure elements: -0.559 eV per atom
energy above the lowest structure with this stoichiometry: 0.0 meV per atom
SG: Immm (71)

No. 17
A geometry-optimized TiCoNi structure. Source: Alexandria, functional PBE-GGA.

a = 2.5692 Å, b = 4.0691 Å, c = 4.0691 Å
α = 120.00°, β = 90.00°, γ = 90.00°
With the nearest neighbours (Å) after each atom.
Fractional positions:
Co (0.3740, 0.3333, 0.6667)  3 Ti 2.46, 2 Co 2.57, 3 Ni 2.57
Ni (0.9679, 0.0000, 0.0000)  3 Ti 2.48, 2 Ni 2.57, 3 Co 2.57
Ti (0.6582, 0.6667, 0.3333)  3 Co 2.46, 3 Ni 2.48, 2 Ti 2.57

Output
energy of formation from the pure elements: -0.193 eV per atom
energy above the lowest structure with this stoichiometry: 132.8 meV per atom
SG: P3m1 (156)

No. 18
A geometry-optimized Ge8H structure. Source: Alexandria, functional PBE-GGA.

a = 8.2429 Å, b = 8.4402 Å, c = 5.8978 Å
α = 44.47°, β = 89.54°, γ = 118.74°
With the nearest neighbours (Å) after each atom.
Fractional positions:
Ge (0.7153, 0.4229, 0.3769)  4 Ge 2.48-2.54
Ge (0.4606, 0.9106, 0.1226)  4 Ge 2.48-2.54
Ge (0.1699, 0.8408, 0.4132)  1 H 1.72
Ge (0.9512, 0.9105, 0.1235)  4 Ge 2.48-2.54
Ge (0.4967, 0.4925, 0.0868)  1 H 1.72
Ge (0.7153, 0.9320, 0.3592)  4 Ge 2.48-2.54
Ge (0.9512, 0.4017, 0.1408)  4 Ge 2.48-2.54
Ge (0.2057, 0.4221, 0.3778)  4 Ge 2.48-2.54
H (0.3340, 0.1670, 0.2493)  2 Ge 1.72

Output
electronic total energy: -4.338 eV/atom
SG: P1 (1)

No. 19
A geometry-optimized Ac3Pr3Y structure. Source: Alexandria, functional PBE-GGA.

a = 5.7130 Å, b = 13.9445 Å, c = 14.2090 Å
α = 90.00°, β = 90.00°, γ = 90.00°
With the nearest neighbours (Å) after each atom.
Fractional positions:
Pr (0.7500, 0.7077, 0.7990)  2 Pr 3.40, 1 Ac 3.43
Pr (0.2500, 0.5359, 0.1860)  1 Pr 3.40, 2 Y 3.55, 4 Ac 3.57-3.69
Pr (0.7500, 0.6614, 0.5643)  1 Pr 3.40, 5 Ac 3.50-3.70, 2 Y 3.73
Pr (0.2500, 0.8386, 0.0643)  1 Pr 3.40, 5 Ac 3.50-3.70, 2 Y 3.73
Pr (0.7500, 0.2077, 0.7010)  2 Pr 3.40, 1 Ac 3.43
Pr (0.2500, 0.2923, 0.2010)  2 Pr 3.40, 1 Ac 3.43
Pr (0.2500, 0.7923, 0.2990)  2 Pr 3.40, 1 Ac 3.43
Pr (0.7500, 0.4641, 0.8140)  1 Pr 3.40, 2 Y 3.55, 4 Ac 3.57-3.69
Pr (0.7500, 0.9641, 0.6860)  1 Pr 3.40, 2 Y 3.55, 4 Ac 3.57-3.69
Pr (0.2500, 0.3386, 0.4357)  1 Pr 3.40, 5 Ac 3.50-3.70, 2 Y 3.73
Pr (0.7500, 0.1614, 0.9357)  1 Pr 3.40, 5 Ac 3.50-3.70, 2 Y 3.73
Pr (0.2500, 0.0359, 0.3140)  1 Pr 3.40, 2 Y 3.55, 4 Ac 3.57-3.69
Y (0.7500, 0.9572, 0.1867)  4 Pr 3.55-3.73, 5 Ac 3.58-3.86
Y (0.2500, 0.5428, 0.6867)  4 Pr 3.55-3.73, 5 Ac 3.58-3.86
Y (0.2500, 0.0428, 0.8133)  4 Pr 3.55-3.73, 5 Ac 3.58-3.86
Y (0.7500, 0.4572, 0.3133)  4 Pr 3.55-3.73, 5 Ac 3.58-3.86
Ac (0.2500, 0.3134, 0.8648)  6 Pr 3.62-3.97, 1 Y 3.84
Ac (0.7500, 0.1866, 0.3648)  6 Pr 3.62-3.97, 1 Y 3.84
Ac (0.7500, 0.9048, 0.4412)  6 Pr 3.57-3.84, 1 Y 3.69
Ac (0.2500, 0.0952, 0.5588)  6 Pr 3.57-3.84, 1 Y 3.69
Ac (0.2500, 0.5952, 0.9412)  6 Pr 3.57-3.84, 1 Y 3.69
Ac (0.2500, 0.5923, 0.4394)  5 Pr 3.43-3.69, 1 Y 3.58
Ac (0.2500, 0.8134, 0.6352)  6 Pr 3.62-3.97, 1 Y 3.84
Ac (0.7500, 0.9077, 0.9394)  5 Pr 3.43-3.69, 1 Y 3.58
Ac (0.7500, 0.4077, 0.5606)  5 Pr 3.43-3.69, 1 Y 3.58
Ac (0.2500, 0.0923, 0.0606)  5 Pr 3.43-3.69, 1 Y 3.58
Ac (0.7500, 0.6866, 0.1352)  6 Pr 3.62-3.97, 1 Y 3.84
Ac (0.7500, 0.4048, 0.0588)  6 Pr 3.57-3.84, 1 Y 3.69

Output
energy of formation from the pure elements: 0.172 eV per atom
SG: Pnma (62)

No. 20
A geometry-optimized NaHfAl structure. Source: Alexandria, functional PBE-GGA.

a = 9.4550 Å, b = 4.8092 Å, c = 3.1276 Å
α = 90.00°, β = 90.21°, γ = 90.00°
With the nearest neighbours (Å) after each atom.
Fractional positions:
Hf (0.5793, 0.0000, 0.3409)  4 Hf 2.95-3.13, 4 Al 2.98
Hf (0.8436, 0.0000, 0.8437)  6 Al 2.94-2.95, 4 Hf 2.95-3.13
Na (0.3476, 0.5000, 0.8499)  1 Al 3.00, 4 Na 3.13-3.36
Na (0.1618, 0.0000, 0.3527)  6 Na 3.13-3.37, 2 Al 3.35, 2 Hf 3.38-3.40
Al (0.6652, 0.5000, 0.8410)  4 Al 2.83-3.13, 6 Hf 2.94-2.98, 1 Na 3.00
Al (0.9153, 0.5000, 0.3442)  4 Al 2.83-3.13, 4 Hf 2.95

Output
energy of formation from the pure elements: 0.055 eV per atom
energy above the lowest structure with this stoichiometry: 75.9 meV per atom
SG: Pm (6)

Record order is preserved below.
Total magnetic moment: 0.00, 0.00, 0.00, 0.00, 0.02, 0.00, 2.00, 0.00, 0.00, 0.00, 0.00, 0.00, 0.00, 4.72, 0.00, 0.00, 0.35, 0.00, 0.00, 0.00 μB/f.u.